No. 1
The following is a DFT calculation (PBE-GGA) of a relaxed structure of Ti2IrSe6.

CIF file:
```
data_Ti2IrSe6
_symmetry_space_group_name_H-M 'C 1 2/m 1'
_symmetry_Int_Tables_number 12
_cell_length_a 16.796
_cell_length_b 3.559
_cell_length_c 7.946
_cell_angle_alpha 90.00
_cell_angle_beta 115.77
_cell_angle_gamma 90.00
loop_
_symmetry_equiv_pos_as_xyz
'x,y,z'
'-x,-y,-z'
'-x,y,-z'
'x,-y,z'
'x+1/2,y+1/2,z'
'-x+1/2,-y+1/2,-z'
'-x+1/2,y+1/2,-z'
'x+1/2,-y+1/2,z'
loop_
_atom_site_label
_atom_site_type_symbol
_atom_site_fract_x
_atom_site_fract_y
_atom_site_fract_z
Ti1 Ti 0.154 0.000 0.309
Ir1 Ir 0.000 0.500 0.000
Se1 Se 0.005 0.000 0.778
Se2 Se 0.166 0.500 0.093
Se3 Se 0.170 0.500 0.556
```

ΔE_f (raw) = -7.6 eV per formula unit
volume = 213.91 Å³/f.u.
total moment = 0.00 μB/cell
DOS(E_F) = 0.179 states/eV/atom

No. 2
The following is a DFT calculation (PBE-GGA) of a relaxed structure of VAsW3.

CIF file:
```
data_VAsW3
_symmetry_space_group_name_H-M 'P m -3 m'
_symmetry_Int_Tables_number 221
_symmetry_space_group_name_Hall '-P 4 2 3'
_cell_length_a 4.579
_cell_length_b 4.579
_cell_length_c 4.579
_cell_angle_alpha 90.00
_cell_angle_beta 90.00
_cell_angle_gamma 90.00
loop_
_atom_site_label
_atom_site_type_symbol
_atom_site_fract_x
_atom_site_fract_y
_atom_site_fract_z
V1 V 0.000 0.000 0.000
As1 As 0.500 0.500 0.500
W1 W 0.000 0.000 0.500
```

energy above the lowest structure with this stoichiometry = 0.138 eV per atom
volume = 95.98 Å³/f.u.
total moment = 0.00 μB/cell
DOS(E_F) = 1.160 states/eV/atom
formation energy from the elements = 1741 meV per atom

No. 3
The following is a DFT calculation (PBE-GGA) of a relaxed structure of Na4Pr3TiSe8.

CIF file:
```
data_Na4Pr3TiSe8
_symmetry_space_group_name_H-M 'R -3 m'
_symmetry_Int_Tables_number 166
_symmetry_space_group_name_Hall '-R 3 2"'
_cell_length_a 8.3840
_cell_length_b 8.3840
_cell_length_c 21.0819
_cell_angle_alpha 90.00
_cell_angle_beta 90.00
_cell_angle_gamma 120.00
loop_
_atom_site_label
_atom_site_type_symbol
_atom_site_fract_x
_atom_site_fract_y
_atom_site_fract_z
Na1 Na 0.0000 0.0000 0.0000
Na2 Na 0.0000 0.5000 0.0000
Pr1 Pr 0.0000 0.5000 0.5000
Ti1 Ti 0.0000 0.0000 0.5000
Se1 Se 0.0000 0.0000 0.2476
Se2 Se 0.0266 0.5133 0.2422
```

ΔE_f (raw) = -24.0 eV per formula unit
volume = 427.77 Å³/f.u.
total moment = 3.01 μB/cell
DOS(E_F) = 0.385 states/eV/atom

No. 4
The following is a DFT calculation (PBE-GGA) of a relaxed structure of ZnPd3S.

CIF file:
```
data_ZnPd3S
_symmetry_space_group_name_H-M 'P m -3 m'
_symmetry_Int_Tables_number 221
_symmetry_space_group_name_Hall '-P 4 2 3'
_cell_length_a 4.627
_cell_length_b 4.627
_cell_length_c 4.627
_cell_angle_alpha 90.00
_cell_angle_beta 90.00
_cell_angle_gamma 90.00
loop_
_atom_site_label
_atom_site_type_symbol
_atom_site_fract_x
_atom_site_fract_y
_atom_site_fract_z
Zn1 Zn 0.000 0.000 0.000
Pd1 Pd 0.000 0.000 0.500
S1 S 0.500 0.500 0.500
```

ΔE_f (raw) = 3.4 eV per formula unit
energy above the lowest structure with this stoichiometry = 0.729 eV per atom
volume = 99.03 Å³/f.u.
total moment = 0.00 μB/cell
DOS(E_F) = 0.879 states/eV/atom

No. 5
The following is a DFT calculation (PBE-GGA) of a relaxed structure of ZnCu2TeAu.

CIF file:
```
data_ZnCu2TeAu
_symmetry_space_group_name_H-M 'P 4/m m m'
_symmetry_Int_Tables_number 123
_symmetry_space_group_name_Hall '-P 4 2'
_cell_length_a 4.522
_cell_length_b 4.522
_cell_length_c 5.190
_cell_angle_alpha 90.00
_cell_angle_beta 90.00
_cell_angle_gamma 90.00
loop_
_atom_site_label
_atom_site_type_symbol
_atom_site_fract_x
_atom_site_fract_y
_atom_site_fract_z
Zn1 Zn 0.000 0.000 0.000
Cu1 Cu 0.000 0.500 0.000
Te1 Te 0.000 0.000 0.500
Au1 Au 0.500 0.500 0.500
```

ΔE_f (raw) = 3.3 eV per formula unit
volume = 106.13 Å³/f.u.
total moment = 0.00 μB/cell
DOS(E_F) = 0.540 states/eV/atom

No. 6
The following is a DFT calculation (PBE-GGA) of a relaxed structure of LiYAs2.

CIF file:
```
data_LiYAs2
_symmetry_space_group_name_H-M 'I -4 m 2'
_symmetry_Int_Tables_number 119
_symmetry_space_group_name_Hall 'I -4 -2'
_cell_length_a 4.041
_cell_length_b 4.041
_cell_length_c 9.838
_cell_angle_alpha 90.00
_cell_angle_beta 90.00
_cell_angle_gamma 90.00
loop_
_atom_site_label
_atom_site_type_symbol
_atom_site_fract_x
_atom_site_fract_y
_atom_site_fract_z
Li1 Li 0.000 0.000 0.000
Y1 Y 0.000 0.500 0.250
As1 As 0.000 0.000 0.500
As2 As 0.000 0.500 0.750
```

energy above the lowest structure with this stoichiometry = 0.091 eV per atom
volume = 80.33 Å³/f.u.
total moment = 0.00 μB/cell
DOS(E_F) = 0.346 states/eV/atom
formation energy from the elements = -760 meV per atom

The highest DOS(E_F) belongs to which entry?
VAsW3

Which value of total moment does entry 1 give?
0.00 μB/cell